[1]
{"formula": "Li2LaCdPd", "functional": "GGA-PBE", "state": "relaxed", "lattice_angstrom": [[4.7565, 0.0000, 0.0000], [0.0000, 4.7565, 0.0000], [0.0000, 0.0000, 5.2612]], "species": ["Cd", "Li", "Li", "Pd", "La"], "fractional_positions": [[0.0000, 0.0000, 0.5000], [0.0000, 0.5000, 0.0000], [0.5000, 0.0000, 0.0000], [0.0000, 0.0000, 0.0000], [0.5000, 0.5000, 0.5000]], "dos_at_fermi_per_ev_atom": 0.930, "dft_energy_ev_per_cell": -15.51, "delta_e_f_kj_per_mol_atoms": -12.4}

[2]
{"formula": "CeDyTh2Bi4", "functional": "GGA-PBE", "state": "relaxed", "lattice_angstrom": [[-4.1551, -1.8530, 0.4529], [0.9162, -0.1364, 7.8471], [-2.6875, 6.7828, 3.0959]], "species": ["Ce", "Dy", "Th", "Th", "Bi", "Bi", "Bi", "Bi"], "fractional_positions": [[0.5000, 0.5000, 0.0000], [0.0000, 0.5000, 0.5000], [0.0000, 0.0000, 0.0000], [0.5000, 0.0000, 0.5000], [0.0000, 0.7456, 0.7480], [0.0000, 0.2544, 0.2520], [0.5000, 0.7433, 0.2554], [0.5000, 0.2567, 0.7446]], "dos_at_fermi_per_ev_atom": 1.344, "dft_energy_ev_per_cell": -46.50, "delta_e_f_kj_per_mol_atoms": -67.5}

[3]
{"formula": "Gd2ZnIn", "functional": "GGA-PBE", "state": "relaxed", "lattice_angstrom": [[-2.6310, 4.2254, -1.6819], [-3.8403, -0.5359, -3.5455], [-5.0071, 0.7150, 1.4223]], "species": ["Zn", "Gd", "Gd", "In"], "fractional_positions": [[0.0000, 0.0000, 0.0000], [0.2500, 0.2500, 0.2500], [0.7500, 0.7500, 0.7500], [0.5000, 0.5000, 0.5000]], "dos_at_fermi_per_ev_atom": 0.595, "dft_energy_ev_per_cell": -33.86, "delta_e_f_kj_per_mol_atoms": -40.7}

[4]
{"formula": "ZrTlTc", "functional": "GGA-PBE", "state": "relaxed", "lattice_angstrom": [[-4.6507, -0.3369, -0.9778], [2.4730, -3.8955, 1.1866], [-0.6427, 0.4734, 2.8938]], "species": ["Tc", "Tl", "Zr"], "fractional_positions": [[0.0000, 0.0000, 0.9931], [0.3333, 0.6667, 0.2829], [0.6667, 0.3333, 0.7240]], "dos_at_fermi_per_ev_atom": 0.332, "dft_energy_ev_per_cell": -20.66, "delta_e_f_kj_per_mol_atoms": 19.8}

[5]
{"formula": "HfPb2O6", "functional": "GGA-PBE", "state": "relaxed", "lattice_angstrom": [[4.9916, 0.0000, 0.0000], [0.0000, 4.9916, 0.0000], [0.0000, 0.0000, 10.1361]], "species": ["Hf", "Hf", "Pb", "Pb", "Pb", "Pb", "O", "O", "O", "O", "O", "O", "O", "O", "O", "O", "O", "O"], "fractional_positions": [[0.5000, 0.5000, 0.0000], [0.0000, 0.0000, 0.5000], [0.5000, 0.5000, 0.3344], [0.5000, 0.5000, 0.6656], [0.0000, 0.0000, 0.1656], [0.0000, 0.0000, 0.8344], [0.6894, 0.6894, 0.1596], [0.6894, 0.6894, 0.8404], [0.7025, 0.7025, 0.5000], [0.7975, 0.2025, 0.0000], [0.8106, 0.1894, 0.3404], [0.8106, 0.1894, 0.6596], [0.1894, 0.8106, 0.3404], [0.1894, 0.8106, 0.6596], [0.2025, 0.7975, 0.0000], [0.2975, 0.2975, 0.5000], [0.3106, 0.3106, 0.1596], [0.3106, 0.3106, 0.8404]], "dft_energy_ev_per_cell": -124.93}

[6]
{"formula": "Co2SeBr", "functional": "GGA-PBE", "state": "relaxed", "lattice_angstrom": [[5.1752, 0.0082, -0.0015], [-0.6894, 5.1291, 0.0015], [-0.5356, -4.0594, 3.1649]], "species": ["Br", "Co", "Co", "Se"], "fractional_positions": [[0.2500, 0.7500, 0.5000], [0.9634, 0.9634, 0.0000], [0.5366, 0.5366, 0.0000], [0.7500, 0.2500, 0.5000]], "dos_at_fermi_per_ev_atom": 1.450, "dft_energy_ev_per_cell": -17.54}

[7]
{"formula": "Na4Ce3PrS8", "functional": "GGA-PBE", "state": "relaxed", "lattice_angstrom": [[-2.9621, 7.7321, -0.4765], [-2.7745, -0.5880, 7.7054], [7.9752, -1.4980, -1.7055]], "species": ["Na", "Na", "Na", "Na", "Ce", "Ce", "Ce", "Pr", "S", "S", "S", "S", "S", "S", "S", "S"], "fractional_positions": [[0.5000, 0.0000, 0.0000], [0.5000, 0.0000, 0.5000], [0.0000, 0.0000, 0.0000], [0.0000, 0.0000, 0.5000], [0.5000, 0.5000, 0.0000], [0.5000, 0.5000, 0.5000], [0.0000, 0.5000, 0.5000], [0.0000, 0.5000, 0.0000], [0.2458, 0.7335, 0.9878], [0.2458, 0.7334, 0.4917], [0.2560, 0.2681, 0.5119], [0.7420, 0.7335, 0.9878], [0.2580, 0.2665, 0.0122], [0.7440, 0.7319, 0.4881], [0.7542, 0.2666, 0.5083], [0.7542, 0.2665, 0.0122]], "dos_at_fermi_per_ev_atom": 1.132, "dft_energy_ev_per_cell": -88.80}

[8]
{"formula": "VGaCuNi", "functional": "GGA-PBE", "state": "relaxed", "lattice_angstrom": [[-3.0495, -2.7979, 0.2763], [-0.0961, -3.2269, -2.6042], [0.8103, -3.8194, 1.3997]], "species": ["Ni", "Cu", "Ga", "V"], "fractional_positions": [[0.7500, 0.7500, 0.7500], [0.2500, 0.2500, 0.2500], [0.5000, 0.5000, 0.5000], [0.0000, 0.0000, 0.0000]], "dos_at_fermi_per_ev_atom": 0.931, "dft_energy_ev_per_cell": -22.53, "delta_e_f_kj_per_mol_atoms": -12.2}

[9]
{"formula": "K2BeCu", "functional": "GGA-PBE", "state": "relaxed", "lattice_angstrom": [[-0.8893, 2.5942, -3.0529], [-2.9649, -2.5456, -1.2995], [-4.8920, 3.4666, 4.3708]], "species": ["Be", "K", "K", "Cu"], "fractional_positions": [[0.5000, 0.5000, 0.2500], [0.0000, 0.0000, 0.9942], [0.0000, 0.0000, 0.5058], [0.5000, 0.5000, 0.7500]], "dos_at_fermi_per_ev_atom": 0.460, "dft_energy_ev_per_cell": -6.71, "delta_e_f_kj_per_mol_atoms": 79.7}

[10]
{"formula": "RbHgPCl2", "functional": "GGA-PBE", "state": "relaxed", "lattice_angstrom": [[5.8044, 0.0000, 0.0000], [0.0000, 5.8044, 0.0000], [0.0000, 0.0000, 4.9441]], "species": ["P", "Hg", "Rb", "Cl", "Cl"], "fractional_positions": [[0.0000, 0.0000, 0.5000], [0.0000, 0.0000, 0.0000], [0.5000, 0.5000, 0.5000], [0.0000, 0.5000, 0.0000], [0.5000, 0.0000, 0.0000]], "dos_at_fermi_per_ev_atom": 0.144, "dft_energy_ev_per_cell": -12.54}

[11]
{"formula": "NdSm2Y4", "functional": "GGA-PBE", "state": "relaxed", "lattice_angstrom": [[3.5530, 0.2592, -0.3276], [-0.9056, 8.1495, -3.3316], [-0.9292, -1.1809, 8.5096]], "species": ["Nd", "Sm", "Sm", "Y", "Y", "Y", "Y"], "fractional_positions": [[0.0000, 0.0000, 0.0000], [0.0686, 0.4286, 0.1383], [0.9314, 0.5714, 0.8617], [0.2940, 0.7063, 0.5874], [0.3559, 0.1597, 0.7110], [0.7060, 0.2937, 0.4126], [0.6441, 0.8403, 0.2890]], "dos_at_fermi_per_ev_atom": 1.489, "dft_energy_ev_per_cell": -39.85, "delta_e_f_kj_per_mol_atoms": 3.0}

[12]
{"formula": "Ac2LaPm2Pr4", "functional": "GGA-PBE", "state": "relaxed", "lattice_angstrom": [[-1.1580, 0.4445, 3.6001], [7.7615, -6.2207, 1.2508], [2.4044, 9.8227, -0.4394]], "species": ["Ac", "Ac", "La", "Pm", "Pm", "Pr", "Pr", "Pr", "Pr"], "fractional_positions": [[0.8523, 0.7045, 0.3318], [0.1477, 0.2955, 0.6682], [0.0000, 0.0000, 0.0000], [0.3333, 0.6666, 0.9952], [0.6667, 0.3334, 0.0048], [0.8169, 0.6339, 0.6711], [0.1831, 0.3661, 0.3289], [0.5178, 0.0356, 0.3251], [0.4822, 0.9644, 0.6749]], "dos_at_fermi_per_ev_atom": 1.402, "dft_energy_ev_per_cell": -41.53, "delta_e_f_kj_per_mol_atoms": 2.5}

[13]
{"formula": "BaLi2TiSe4", "functional": "GGA-PBE", "state": "relaxed", "lattice_angstrom": [[-3.4883, 6.1542, 0.0394], [-3.2801, 2.2402, -5.2470], [-5.9544, 0.6733, 2.7204]], "species": ["Ba", "Li", "Li", "Ti", "Se", "Se", "Se", "Se"], "fractional_positions": [[0.0000, 0.0000, 0.0000], [0.5000, 0.7494, 0.2506], [0.5000, 0.2506, 0.7494], [0.0000, 0.5000, 0.5000], [0.6086, 0.5318, 0.8596], [0.3914, 0.1404, 0.4682], [0.0000, 0.4682, 0.1404], [0.0000, 0.8596, 0.5318]], "dos_at_fermi_per_ev_atom": 0.000, "dft_energy_ev_per_cell": -38.70}

[14]
{"formula": "LiPm2Sb2", "functional": "GGA-PBE", "state": "relaxed", "lattice_angstrom": [[-3.8092, 2.5024, 4.5450], [0.3919, -5.5678, 3.3941], [6.9790, 3.8265, -0.8153]], "species": ["Li", "Li", "Pm", "Pm", "Pm", "Pm", "Sb", "Sb", "Sb", "Sb"], "fractional_positions": [[0.7500, 0.5000, 0.0000], [0.2500, 0.5000, 0.0000], [0.8591, 0.6416, 0.7182], [0.1409, 0.3584, 0.2818], [0.6409, 0.9234, 0.2818], [0.3591, 0.0766, 0.7182], [0.3815, 0.6188, 0.7631], [0.6185, 0.3812, 0.2369], [0.1185, 0.8557, 0.2369], [0.8815, 0.1443, 0.7631]], "dos_at_fermi_per_ev_atom": 0.446, "dft_energy_ev_per_cell": -48.78}

[15]
{"formula": "Cs3Cd2F6", "functional": "GGA-PBE", "state": "relaxed", "lattice_angstrom": [[4.7064, 0.0000, 0.0000], [0.0000, 4.7064, 0.0000], [-2.3532, -2.3532, 11.2437]], "species": ["Cs", "Cs", "Cs", "Cd", "Cd", "F", "F", "F", "F", "F", "F"], "fractional_positions": [[0.0000, 0.0000, 0.0000], [0.8174, 0.8174, 0.6349], [0.1826, 0.1826, 0.3651], [0.4139, 0.4139, 0.8278], [0.5861, 0.5861, 0.1722], [0.0864, 0.5864, 0.1728], [0.5864, 0.0864, 0.1728], [0.9136, 0.4136, 0.8272], [0.4136, 0.9136, 0.8272], [0.6858, 0.6858, 0.3716], [0.3142, 0.3142, 0.6284]], "dos_at_fermi_per_ev_atom": 0.187, "dft_energy_ev_per_cell": -40.90}

[16]
{"formula": "NaGe2H", "functional": "GGA-PBE", "state": "relaxed", "lattice_angstrom": [[0.0000, 3.2407, 3.2407], [3.2407, 0.0000, 3.2407], [3.2407, 3.2407, 0.0000]], "species": ["Na", "Ge", "Ge", "H"], "fractional_positions": [[0.5000, 0.5000, 0.5000], [0.2500, 0.2500, 0.2500], [0.7500, 0.7500, 0.7500], [0.0000, 0.0000, 0.0000]], "dos_at_fermi_per_ev_atom": 0.133, "dft_energy_ev_per_cell": -11.11}

[17]
{"formula": "ReAgHg2", "functional": "GGA-PBE", "state": "relaxed", "lattice_angstrom": [[-0.5382, 5.4965, -1.1427], [-2.0298, 5.1085, 1.2613], [3.4319, 2.9185, 2.6005]], "species": ["Re", "Hg", "Hg", "Ag"], "fractional_positions": [[0.5073, 0.5073, 0.5871], [0.9943, 0.9943, 0.0839], [0.7610, 0.7610, 0.6544], [0.2375, 0.2375, 0.1746]], "dos_at_fermi_per_ev_atom": 0.515, "dft_energy_ev_per_cell": -13.31, "delta_e_f_kj_per_mol_atoms": 62.6}

[18]
{"formula": "Ba2TlAgPt", "functional": "GGA-PBE", "state": "relaxed", "lattice_angstrom": [[-2.7928, 4.0711, 3.6461], [1.0795, -3.6030, 4.8498], [4.5858, 2.4380, 0.7905]], "species": ["Ag", "Tl", "Ba", "Ba", "Pt"], "fractional_positions": [[0.5000, 0.5000, 0.5000], [0.0000, 0.0000, 0.5000], [0.0000, 0.5000, 0.0000], [0.5000, 0.0000, 0.0000], [0.0000, 0.0000, 0.0000]], "dos_at_fermi_per_ev_atom": 0.725, "dft_energy_ev_per_cell": -16.70, "delta_e_f_kj_per_mol_atoms": -30.8}

[19]
{"formula": "Er8CuTe2", "functional": "GGA-PBE", "state": "relaxed", "lattice_angstrom": [[6.2751, -0.2902, -0.2412], [-0.3883, 7.8914, 2.1509], [-0.3883, 3.5574, 7.3652]], "species": ["Er", "Er", "Er", "Er", "Er", "Er", "Er", "Er", "Cu", "Te", "Te"], "fractional_positions": [[0.6681, 0.1623, 0.6660], [0.3319, 0.3340, 0.8377], [0.8721, 0.1786, 0.1786], [0.1279, 0.8214, 0.8214], [0.6681, 0.6660, 0.1623], [0.3319, 0.8377, 0.3340], [0.1264, 0.4081, 0.4081], [0.8736, 0.5919, 0.5919], [0.0000, 0.0000, 0.0000], [0.4013, 0.2597, 0.2597], [0.5987, 0.7403, 0.7403]], "dos_at_fermi_per_ev_atom": 0.996, "dft_energy_ev_per_cell": -50.59}

[20]
{"formula": "KMn2Te", "functional": "GGA-PBE", "state": "relaxed", "lattice_angstrom": [[5.8475, 0.0334, 0.0000], [2.3143, 5.3701, 0.0000], [-4.0809, -2.7017, 3.2002]], "species": ["K", "Mn", "Mn", "Te"], "fractional_positions": [[0.7500, 0.2500, 0.5000], [0.0000, 0.0000, 0.0000], [0.5000, 0.5000, 0.0000], [0.2500, 0.7500, 0.5000]], "dos_at_fermi_per_ev_atom": 1.067, "dft_energy_ev_per_cell": -20.11}